Y2Ga12Cu after structural relaxation, computed with PBE.

```
Y2Ga12Cu
1.0
-3.624 -3.671 -3.328
-2.541 -2.163 5.152
-10.482 10.891 -0.598
Y Ga Cu
4 24 2
direct
0.500 0.000 0.244
0.000 0.500 0.244
0.000 0.500 0.756
0.500 0.000 0.756
0.500 0.500 0.817
0.000 0.000 0.817
0.750 0.750 0.913
0.250 0.750 0.913
0.000 0.000 0.344
0.250 0.750 0.087
0.834 0.334 0.570
0.500 0.500 0.344
0.250 0.250 0.913
0.750 0.750 0.087
0.334 0.166 0.570
0.666 0.166 0.430
0.000 0.000 0.656
0.166 0.334 0.430
0.250 0.250 0.087
0.834 0.666 0.430
0.666 0.834 0.570
0.000 0.000 0.183
0.166 0.666 0.570
0.500 0.500 0.656
0.750 0.250 0.913
0.500 0.500 0.183
0.334 0.834 0.430
0.750 0.250 0.087
0.500 0.000 0.000
0.000 0.500 0.000
```

Output
Density (g cm⁻³): 6.28
Fermi-level density of states (states/eV per cell): 9.3
Formation enthalpy at 0 K (eV/atom): -0.307
Symmetry: P4/nbm

PmSm5Y4 after structural relaxation, computed with PBE.

```
PmSm5Y4
1.0
-2.315 1.434 -5.408
-7.681 -2.446 -0.750
-3.520 7.291 0.050
Pm Sm Y
1 5 4
direct
0.217 0.000 0.000
0.762 0.377 0.999
0.139 0.999 0.623
0.761 0.001 0.377
0.139 0.623 0.001
0.684 0.000 0.000
0.452 0.325 0.676
0.777 0.676 0.675
0.127 0.324 0.325
0.452 0.675 0.324
```

Output
ΔE to the lowest computed polymorph (meV per atom): 190.2
Density (g cm⁻³): 6.09
Fermi-level density of states (states/eV per cell): 14.8
Formation enthalpy at 0 K (eV/atom): 0.254
Symmetry: I4

Tc2AgIr after structural relaxation, computed with PBE.

```
Tc2AgIr
1.0
4.022 0.000 0.000
0.000 2.747 0.003
0.000 2.737 5.559
Ag Ir Tc
1 1 2
direct
0.500 0.250 0.250
0.500 0.750 0.750
0.000 0.027 0.972
0.000 0.473 0.528
```

Output
ΔE to the lowest computed polymorph (meV per atom): 156.5
Density (g cm⁻³): 13.42
Fermi-level density of states (states/eV per cell): 5.2
Formation enthalpy at 0 K (eV/atom): 0.295
Symmetry: Pmmm

Y7HoMg4 after structural relaxation, computed with PBE.

```
Y7HoMg4
1.0
5.751 0.000 0.000
2.876 8.545 1.096
2.876 1.148 7.449
Y Ho Mg
7 1 4
direct
0.796 0.880 0.528
0.204 0.120 0.472
0.078 0.578 0.266
0.922 0.422 0.734
0.253 0.707 0.788
0.500 0.000 0.000
0.747 0.293 0.212
0.000 0.000 0.000
0.542 0.301 0.616
0.458 0.699 0.384
0.675 0.656 0.993
0.325 0.344 0.007
```

Output
Density (g cm⁻³): 4.09
Fermi-level density of states (states/eV per cell): 16.3
Formation enthalpy at 0 K (eV/atom): 0.152
Symmetry: C2/m

LaThV after structural relaxation, computed with PBE.

```
LaThV
1.0
-3.265 -0.095 -1.066
-1.065 -0.055 3.266
-0.418 13.392 0.089
La Th V
2 2 2
direct
0.000 0.500 0.609
0.500 0.000 0.391
0.500 0.000 0.810
0.000 0.500 0.190
0.000 0.500 0.957
0.500 0.000 0.043
```

Output
Density (g cm⁻³): 8.86
Fermi-level density of states (states/eV per cell): 9.1
Formation enthalpy at 0 K (eV/atom): 0.221
Symmetry: P4/nmm

PaTiNiMo after structural relaxation, computed with PBE.

```
PaTiNiMo
1.0
-1.613 -2.433 3.564
2.404 -0.207 3.925
-1.540 2.169 3.762
Ni Mo Pa Ti
1 1 1 1
direct
0.750 0.750 0.750
0.250 0.250 0.250
0.500 0.500 0.500
0.000 0.000 0.000
```

Output
Density (g cm⁻³): 10.41
Fermi-level density of states (states/eV per cell): 3.7
Formation enthalpy at 0 K (eV/atom): -0.127
Symmetry: F-43m

K2Ta after structural relaxation, computed with PBE.

```
K2Ta
1.0
1.646 7.774 0.188
-1.646 7.774 0.188
0.000 3.339 9.952
K Ta
4 2
direct
0.668 0.668 0.847
0.041 0.041 0.300
0.959 0.959 0.700
0.332 0.332 0.153
0.307 0.307 0.517
0.693 0.693 0.483
```

Output
ΔE to the lowest computed polymorph (meV per atom): 251.1
Density (g cm⁻³): 3.41
Fermi-level density of states (states/eV per cell): 8.4
Formation enthalpy at 0 K (eV/atom): 0.941
Symmetry: C2/m

Nb2FeIrBr after structural relaxation, computed with PBE.

```
Nb2FeIrBr
1.0
4.715 0.000 0.000
0.000 4.161 0.000
0.000 0.000 4.715
Nb Ir Fe Br
2 1 1 1
direct
0.000 0.000 0.500
0.500 0.000 0.000
0.500 0.500 0.500
0.000 0.500 0.000
0.000 0.000 0.000
```

Output
Density (g cm⁻³): 9.22
Fermi-level density of states (states/eV per cell): 5.8
ΔE_f (raw) (eV per atom): 1.21
Symmetry: P4/mmm

DyHo4Er4 after structural relaxation, computed with PBE.

```
DyHo4Er4
1.0
-4.842 -0.621 -0.854
-3.414 -2.333 6.674
-3.660 6.798 1.424
Dy Ho Er
1 4 4
direct
0.000 0.000 0.000
0.667 0.333 0.333
0.333 0.667 0.667
0.000 0.667 0.333
0.000 0.333 0.667
0.667 0.666 0.000
0.333 0.334 0.000
0.667 0.000 0.666
0.333 0.000 0.334
```

Output
Density (g cm⁻³): 9.00
Fermi-level density of states (states/eV per cell): 12.4
Formation enthalpy at 0 K (eV/atom): 0.022
Symmetry: I4/mmm

Na3Pu3PaS8 after structural relaxation, computed with PBE.

```
Na3Pu3PaS8
1.0
8.110 0.000 0.000
-4.055 7.020 -0.025
0.000 -4.659 6.670
Na Pu Pa S
3 3 1 8
direct
0.000 0.000 0.000
0.000 0.500 0.000
0.500 0.500 0.000
0.500 0.000 0.500
0.500 0.500 0.500
0.000 0.500 0.500
0.000 0.000 0.500
0.259 0.518 0.277
0.741 0.482 0.723
0.766 0.532 0.280
0.234 0.468 0.720
0.766 0.014 0.280
0.234 0.986 0.720
0.248 0.014 0.280
0.752 0.986 0.720
```

Output
Density (g cm⁻³): 5.65
Fermi-level density of states (states/eV per cell): 29.0
ΔE_f (raw) (eV per atom): -1.58
Symmetry: R-3m

Li2AlCrH6 after structural relaxation, computed with PBE.

```
Li2AlCrH6
1.0
-2.448 -4.092 -0.699
1.277 -5.060 1.429
-1.226 -1.935 4.265
Li Al Cr H
2 1 1 6
direct
0.584 0.622 0.408
0.038 0.891 0.072
0.684 0.834 0.754
0.326 0.313 0.949
0.588 0.016 0.322
0.132 0.102 0.177
0.017 0.507 0.177
0.440 0.608 0.857
0.707 0.176 0.730
0.146 0.593 0.569
```

Output
Uncorrected energy (eV/atom): -3.824
Density (g cm⁻³): 2.01
Fermi-level density of states (states/eV per cell): 0.3
Symmetry: P1

La2Au2O after structural relaxation, computed with PBE.

```
La2Au2O
1.0
7.023 0.000 0.000
0.000 7.023 0.000
0.000 0.000 4.975
Au O La
4 2 4
direct
0.136 0.636 0.500
0.636 0.864 0.500
0.864 0.364 0.500
0.364 0.136 0.500
0.000 0.000 0.000
0.500 0.500 0.000
0.311 0.811 0.000
0.811 0.689 0.000
0.689 0.189 0.000
0.189 0.311 0.000
```

Output
Density (g cm⁻³): 9.31
Fermi-level density of states (states/eV per cell): 5.8
ΔE_f (raw) (eV per atom): -1.29
Symmetry: P4/mbm

MnCrAs3 after structural relaxation, computed with PBE.

```
MnCrAs3
1.0
4.661 0.000 0.000
0.000 4.661 0.000
0.000 0.000 4.661
Cr As Mn
1 3 1
direct
0.500 0.500 0.500
0.000 0.500 0.000
0.000 0.000 0.500
0.500 0.000 0.000
0.000 0.000 0.000
```

Output
ΔE to the lowest computed polymorph (meV per atom): 0.0
Density (g cm⁻³): 5.44
Fermi-level density of states (states/eV per cell): 3.2
Formation enthalpy at 0 K (eV/atom): 0.539
Symmetry: Pm-3m

Cs2TaBPd after structural relaxation, computed with PBE.

```
Cs2TaBPd
1.0
6.702 0.000 0.000
0.000 4.794 0.000
0.000 0.000 6.702
Cs B Pd Ta
2 1 1 1
direct
0.000 0.000 0.500
0.500 0.000 0.000
0.500 0.500 0.500
0.000 0.500 0.000
0.000 0.000 0.000
```

Output
Density (g cm⁻³): 4.35
Fermi-level density of states (states/eV per cell): 7.4
Formation enthalpy at 0 K (eV/atom): 1.965
Symmetry: P4/mmm

Pu2MnBe after structural relaxation, computed with PBE.

```
Pu2MnBe
1.0
-0.459 -3.500 0.177
1.658 -0.374 -3.099
5.061 -0.524 2.769
Be Mn Pu
1 1 2
direct
0.500 0.500 0.000
0.500 0.500 0.500
0.000 0.000 0.761
0.000 0.000 0.239
```

Output
ΔE to the lowest computed polymorph (meV per atom): 31.0
Density (g cm⁻³): 12.66
Fermi-level density of states (states/eV per cell): 8.5
Formation enthalpy at 0 K (eV/atom): 0.197
Symmetry: P4/mmm

Ag3Te after structural relaxation, computed with PBE.

```
Ag3Te
1.0
-1.225 1.472 3.893
1.523 -3.618 1.847
3.873 1.888 0.506
Te Ag
1 3
direct
0.500 0.000 0.583
0.000 0.000 0.083
0.000 0.500 0.584
0.500 0.500 0.083
```

Output
ΔE to the lowest computed polymorph (meV per atom): 0.0
Density (g cm⁻³): 9.18
Fermi-level density of states (states/eV per cell): 1.4
ΔE_f (raw) (eV per atom): 0.03
Symmetry: Pm-3m

TcH2Ru after structural relaxation, computed with PBE.

```
TcH2Ru
1.0
0.000 2.613 2.613
2.613 0.000 2.613
2.613 2.613 0.000
Ru Tc H
1 1 2
direct
0.500 0.500 0.500
0.000 0.000 0.000
0.250 0.250 0.250
0.750 0.750 0.750
```

Output
ΔE to the lowest computed polymorph (meV per atom): 616.6
Density (g cm⁻³): 9.36
Fermi-level density of states (states/eV per cell): 5.1
Symmetry: Fm-3m

LaInSb2 after structural relaxation, computed with PBE.

```
LaInSb2
1.0
5.493 0.000 0.000
2.746 4.757 0.000
2.746 1.586 4.485
In La Sb
1 1 2
direct
0.500 0.500 0.500
0.750 0.750 0.750
0.000 0.000 0.000
0.250 0.250 0.250
```

Output
Density (g cm⁻³): 7.05
Fermi-level density of states (states/eV per cell): 2.7
ΔE_f (raw) (eV per atom): -0.32
Symmetry: F-43m

CoTePd2Rh after structural relaxation, computed with PBE.

```
CoTePd2Rh
1.0
-3.708 -2.722 1.707
1.740 -3.852 -2.364
2.687 -1.197 3.928
Co Te Rh Pd
1 1 1 2
direct
0.500 0.500 0.500
0.000 0.500 0.000
0.000 0.000 0.000
0.000 0.000 0.500
0.500 0.000 0.000
```

Output
Density (g cm⁻³): 7.15
Fermi-level density of states (states/eV per cell): 9.9
ΔE_f (raw) (eV per atom): 1.17
Symmetry: P4/mmm

Ho4PuSc3 after structural relaxation, computed with PBE.

```
Ho4PuSc3
1.0
5.934 0.000 0.000
0.000 6.950 0.000
0.000 0.000 10.799
Ho Pu Sc
8 2 6
direct
0.990 0.862 0.000
0.488 0.135 0.000
0.138 0.134 0.249
0.638 0.866 0.251
0.988 0.865 0.500
0.490 0.138 0.500
0.638 0.866 0.749
0.138 0.134 0.751
0.979 0.380 0.000
0.479 0.620 0.500
0.478 0.615 0.000
0.152 0.614 0.250
0.652 0.386 0.250
0.978 0.385 0.500
0.652 0.386 0.750
0.152 0.614 0.750
```

Output
Density (g cm⁻³): 7.75
Fermi-level density of states (states/eV per cell): 34.1
Formation enthalpy at 0 K (eV/atom): 0.047
Symmetry: Pmn2_1